Entry from Alexandria: a relaxed structure of BaZr2Cd (PBE).

Cell lengths 5.407, 5.407, 5.407 Å; angles 60.00, 60.00, 60.00 degrees
Sites, in units of the cell vectors:
Ba: 0.500 0.500 0.500
Cd: 0.750 0.750 0.750
Zr: 0.000 0.000 0.000
Zr: 0.250 0.250 0.250

Summary:
Total magnetic moment in Bohr magnetons per cell: 1.95
DFT formation energy in kcal/mol of atoms: 10.224